Entry 1:
SmGaO3 after structural relaxation. Source: Alexandria via LeMat-Bulk, functional PBE.

Properties
The total energy comes out at -0.52379 Ry/atom. The space group is Pmc2_1. The formation energy without anion corrections is -2602 meV per atom. The mass density is 6.6 g cm⁻³. The total magnetization comes out at 0.0 μB per cell.

abc: 3.359 6.038 6.604
angles: 90.00 90.00 90.00
Sites, in units of the cell vectors:
Sm 0.000 0.728 0.391
Sm 0.000 0.228 0.609
Ga 0.500 0.607 0.877
Ga 0.500 0.107 0.123
O 0.500 0.455 0.454
O 0.500 0.282 0.890
O 0.000 0.624 0.755
O 0.500 0.955 0.546
O 0.000 0.124 0.245
O 0.500 0.782 0.110



Entry 2:
Sm4GaSnO after structural relaxation. Source: Alexandria via LeMat-Bulk, functional PBE.

Properties
The total energy comes out at -0.41216 Ry/atom. The space group is Cmcm. The formation energy without anion corrections is -1199 meV per atom. The mass density is 7.3 g cm⁻³. The total magnetization comes out at 0.0 μB per cell.

abc: 6.595 6.603 9.042
angles: 90.00 111.39 90.00
Sites, in units of the cell vectors:
Sm 0.937 0.250 0.874
Sm 0.419 0.750 0.837
Sm 0.063 0.750 0.126
Sm 0.581 0.250 0.163
Sm 0.500 0.500 0.500
Sm 0.000 0.000 0.500
Sm 0.500 0.000 0.500
Sm 0.000 0.500 0.500
Ga 0.118 0.250 0.235
Ga 0.882 0.750 0.765
Sn 0.609 0.750 0.218
Sn 0.391 0.250 0.782
O 0.270 0.750 0.539
O 0.730 0.250 0.461



Entry 3:
SrSmGaO4 after structural relaxation. Source: Alexandria via LeMat-Bulk, functional PBE.

Properties
The total energy comes out at -0.50202 Ry/atom. The space group is P2_1/m. The formation energy without anion corrections is -2650 meV per atom. The mass density is 5.6 g cm⁻³. The total magnetization comes out at 0.0 μB per cell.

abc: 5.777 5.861 6.909
angles: 90.00 108.15 90.00
Sites, in units of the cell vectors:
Sr 0.715 0.750 0.933
Sr 0.285 0.250 0.067
Sm 0.806 0.750 0.461
Sm 0.194 0.250 0.539
Ga 0.261 0.750 0.317
Ga 0.739 0.250 0.683
O 0.969 0.486 0.721
O 0.031 0.986 0.279
O 0.031 0.514 0.279
O 0.969 0.014 0.721
O 0.466 0.750 0.158
O 0.534 0.250 0.842
O 0.469 0.750 0.582
O 0.531 0.250 0.418